An optimized crystal structure of BaThB12. Source: Alexandria via LeMat-Bulk, functional PBE.

Lattice parameters (Å, degrees): 5.915 5.915 5.915 60.00 60.00 60.00
Element x y z (fractional)
Ba  0.000  0.000  0.000
Th  0.500  0.500  0.500
B  0.100  0.100  0.400
B  0.100  0.400  0.100
B  0.100  0.400  0.400
B  0.400  0.100  0.100
B  0.400  0.100  0.400
B  0.400  0.400  0.100
B  0.600  0.600  0.900
B  0.600  0.900  0.600
B  0.600  0.900  0.900
B  0.900  0.600  0.600
B  0.900  0.600  0.900
B  0.900  0.900  0.600

Energy relative to the elements in eV per atom: -0.447
Total magnetization in μB/f.u.: 0.000